DFT (SCAN) results for a crystal of TlNi2Te relaxed with PBEsol.

Computed properties:
SG: P4mm
Calculated volume (Å³ per cell): 73.8
Theoretical density (g/cm³): 10.1
Total energy (eV/cell): -141.3

Cell lengths 3.2769, 3.2769, 6.8751 Å; angles 90.00, 90.00, 90.00 degrees
With the nearest neighbours (Å) after each atom.
Sites, in units of the cell vectors:
Ni  0.0000  0.0000  0.0413  1 Te 2.44, 4 Ni 2.65, 4 Tl 2.72
Te  0.0000  0.0000  0.3966  5 Ni 2.44-2.59
Ni  0.5000  0.5000  0.2289  4 Te 2.59, 4 Ni 2.65, 1 Tl 2.72
Tl  0.5000  0.5000  0.8332  5 Ni 2.72



DFT (SCAN) results for a crystal of NiTeW2 relaxed with PBEsol.

Computed properties:
SG: F-43m
Calculated volume (Å³ per cell): 63.3
Theoretical density (g/cm³): 14.5
Total energy (eV/cell): -189.7

Cell lengths 4.4729, 4.4729, 4.4729 Å; angles 60.00, 60.00, 60.00 degrees
With the nearest neighbours (Å) after each atom.
Sites, in units of the cell vectors:
Ni  0.5000  0.5000  0.5000  4 W 2.74, 4 Te 2.74
Te  0.7500  0.7500  0.7500  4 Ni 2.74, 4 W 2.74
W  0.2500  0.2500  0.2500  4 W 2.74, 4 Ni 2.74
W  0.0000  0.0000  0.0000  4 W 2.74, 4 Te 2.74



DFT (SCAN) results for a crystal of YNiTe3 relaxed with PBEsol.

Computed properties:
SG: Pm-3m
Calculated volume (Å³ per cell): 185.8
Theoretical density (g/cm³): 4.7
Total energy (eV/cell): -153.3
Polymorph energy (0 for the lowest one) (meV/atom): 861

Cell lengths 5.7067, 5.7067, 5.7067 Å; angles 90.00, 90.00, 90.00 degrees
With the nearest neighbours (Å) after each atom.
Sites, in units of the cell vectors:
Te  0.0000  0.5000  0.0000  2 Y 2.85
Ni  0.5000  0.5000  0.5000  12 Te 4.04
Te  0.0000  0.0000  0.5000  2 Y 2.85
Te  0.5000  0.0000  0.0000  2 Y 2.85
Y  0.0000  0.0000  0.0000  6 Te 2.85



DFT (SCAN) results for a crystal of Y3NiTe relaxed with PBEsol.

Computed properties:
SG: Pm-3m
Calculated volume (Å³ per cell): 135.9
Theoretical density (g/cm³): 5.5
Total energy (eV/cell): -139.5

Cell lengths 5.1410, 5.1410, 5.1410 Å; angles 90.00, 90.00, 90.00 degrees
With the nearest neighbours (Å) after each atom.
Sites, in units of the cell vectors:
Y  0.0000  0.5000  0.0000  2 Ni 2.57
Ni  0.0000  0.0000  0.0000  6 Y 2.57
Te  0.5000  0.5000  0.5000  12 Y 3.64
Y  0.5000  0.0000  0.0000  2 Ni 2.57
Y  0.0000  0.0000  0.5000  2 Ni 2.57



DFT (SCAN) results for a crystal of YNiTe3 relaxed with PBEsol.

Computed properties:
SG: Pm-3m
Calculated volume (Å³ per cell): 127.0
Theoretical density (g/cm³): 6.9
Total energy (eV/cell): -157.7
Polymorph energy (0 for the lowest one) (meV/atom): 0

Cell lengths 5.0269, 5.0269, 5.0269 Å; angles 90.00, 90.00, 90.00 degrees
With the nearest neighbours (Å) after each atom.
Sites, in units of the cell vectors:
Ni  0.0000  0.0000  0.0000  6 Te 2.51
Te  0.0000  0.5000  0.0000  2 Ni 2.51
Te  0.0000  0.0000  0.5000  2 Ni 2.51
Te  0.5000  0.0000  0.0000  2 Ni 2.51
Y  0.5000  0.5000  0.5000  12 Te 3.55



DFT (SCAN) results for a crystal of ZnNiTe relaxed with PBEsol.

Computed properties:
SG: I4mm
Calculated volume (Å³ per cell): 52.9
Theoretical density (g/cm³): 7.9
Total energy (eV/cell): -66.3
Polymorph energy (0 for the lowest one) (meV/atom): 433

Cell lengths 3.0366, 3.0366, 6.1259 Å; angles 104.35, 104.35, 90.00 degrees
With the nearest neighbours (Å) after each atom.
Sites, in units of the cell vectors:
Ni  0.0103  0.0103  0.0206  4 Zn 2.52, 4 Te 2.73
Te  0.3638  0.3638  0.7276  4 Ni 2.73, 1 Zn 3.01, 4 Te 3.04
Zn  0.6259  0.6259  0.2518  4 Ni 2.52



DFT (SCAN) results for a crystal of ZnNiTe2 relaxed with PBEsol.

Computed properties:
SG: P4/mmm
Calculated volume (Å³ per cell): 78.3
Theoretical density (g/cm³): 8.0
Total energy (eV/cell): -102.8

Cell lengths 3.2547, 3.2547, 7.3903 Å; angles 90.00, 90.00, 90.00 degrees
With the nearest neighbours (Å) after each atom.
Sites, in units of the cell vectors:
Te  0.0000  0.0000  0.2810  4 Ni 2.81, 4 Zn 3.10
Ni  0.5000  0.5000  0.5000  8 Te 2.81
Te  0.0000  0.0000  0.7190  4 Ni 2.81, 4 Zn 3.10
Zn  0.5000  0.5000  0.0000  8 Te 3.10, 4 Zn 3.25



DFT (SCAN) results for a crystal of ZnNiTe relaxed with PBEsol.

Computed properties:
SG: P3m1
Calculated volume (Å³ per cell): 54.7
Theoretical density (g/cm³): 7.6
Total energy (eV/cell): -66.7
Polymorph energy (0 for the lowest one) (meV/atom): 302

Cell lengths 4.0569, 3.9463, 3.9463 Å; angles 120.00, 90.00, 90.00 degrees
With the nearest neighbours (Å) after each atom.
Sites, in units of the cell vectors:
Ni  0.0017  0.0000  0.0000  3 Zn 2.48, 3 Te 2.49
Te  0.7525  0.3333  0.6667  3 Ni 2.49
Zn  0.2458  0.6667  0.3333  3 Ni 2.48



DFT (SCAN) results for a crystal of ZnNiTe relaxed with PBEsol.

Computed properties:
SG: F-43m
Calculated volume (Å³ per cell): 51.7
Theoretical density (g/cm³): 8.1
Total energy (eV/cell): -67.6
Polymorph energy (0 for the lowest one) (meV/atom): 0

Cell lengths 4.1828, 4.1828, 4.1828 Å; angles 60.00, 60.00, 60.00 degrees
With the nearest neighbours (Å) after each atom.
Sites, in units of the cell vectors:
Zn  0.5000  0.5000  0.5000  4 Ni 2.56
Ni  0.2500  0.2500  0.2500  4 Zn 2.56, 4 Te 2.56
Te  0.0000  0.0000  0.0000  4 Ni 2.56



DFT (SCAN) results for a crystal of Zr4NiTe relaxed with PBEsol.

Computed properties:
SG: F-43m
Calculated volume (Å³ per cell): 123.5
Theoretical density (g/cm³): 7.4
Total energy (eV/cell): -173.6

Cell lengths 5.5891, 5.5891, 5.5891 Å; angles 60.00, 60.00, 60.00 degrees
With the nearest neighbours (Å) after each atom.
Sites, in units of the cell vectors:
Te  0.0000  0.0000  0.0000  12 Zr 3.28, 4 Ni 3.42
Zr  0.8733  0.3756  0.3756  6 Zr 2.78-2.81
Zr  0.3756  0.3756  0.3756  6 Zr 2.78-2.81
Ni  0.7500  0.7500  0.7500  12 Zr 3.28, 4 Te 3.42
Zr  0.3756  0.3756  0.8733  6 Zr 2.78-2.81
Zr  0.3756  0.8733  0.3756  6 Zr 2.78-2.81



DFT (SCAN) results for a crystal of Zr6NiTe2 relaxed with PBEsol.

Computed properties:
SG: P-62m
Calculated volume (Å³ per cell): 185.3
Theoretical density (g/cm³): 7.7
Total energy (eV/cell): -281.0

Cell lengths 3.6621, 7.6439, 7.6439 Å; angles 120.00, 90.00, 90.00 degrees
With the nearest neighbours (Å) after each atom.
Sites, in units of the cell vectors:
Ni  0.0000  0.0000  0.0000  6 Zr 2.59
Zr  0.5000  0.7605  0.0000  2 Ni 2.59
Zr  0.5000  0.0000  0.7605  2 Ni 2.59
Zr  0.0000  0.5934  0.5934  4 Te 2.95, 1 Ni 3.11, 6 Zr 3.27
Te  0.5000  0.6667  0.3333  9 Zr 2.95-2.97
Zr  0.0000  0.0000  0.4066  4 Te 2.95, 1 Ni 3.11, 6 Zr 3.27
Te  0.5000  0.3333  0.6667  9 Zr 2.95-2.97
Zr  0.5000  0.2395  0.2395  2 Ni 2.59
Zr  0.0000  0.4066  0.0000  4 Te 2.95, 1 Ni 3.11, 6 Zr 3.27



DFT (SCAN) results for a crystal of ThNi5 relaxed with PBEsol.

Computed properties:
SG: P6/mmm
Calculated volume (Å³ per cell): 80.7
Theoretical density (g/cm³): 10.8
Total energy (eV/cell): -178.9

Cell lengths 3.9281, 4.8700, 4.8700 Å; angles 120.00, 90.00, 90.00 degrees
With the nearest neighbours (Å) after each atom.
Sites, in units of the cell vectors:
Ni  0.0000  0.3333  0.6667  6 Ni 2.42
Th  0.0000  0.0000  0.0000  18 Ni 2.81-3.13
Ni  0.0000  0.6667  0.3333  6 Ni 2.42
Ni  0.5000  0.5000  0.5000  8 Ni 2.42-2.44
Ni  0.5000  0.0000  0.5000  8 Ni 2.42-2.44
Ni  0.5000  0.5000  0.0000  8 Ni 2.42-2.44



DFT (SCAN) results for a crystal of Th3Ni relaxed with PBEsol.

Computed properties:
SG: Cmcm
Calculated volume (Å³ per cell): 206.3
Theoretical density (g/cm³): 12.2
Total energy (eV/cell): -609.8

Cell lengths 3.6246, 6.1191, 9.7389 Å; angles 90.00, 90.00, 107.23 degrees
With the nearest neighbours (Å) after each atom.
Sites, in units of the cell vectors:
Th  0.5888  0.1775  0.7500  2 Ni 2.87
Ni  0.7207  0.4413  0.2500  6 Th 2.79-2.87
Th  0.8637  0.7274  0.5572  2 Ni 2.79
Th  0.1363  0.2726  0.4428  2 Ni 2.79
Th  0.4112  0.8225  0.2500  2 Ni 2.87
Ni  0.2793  0.5587  0.7500  6 Th 2.79-2.87
Th  0.1363  0.2726  0.0572  2 Ni 2.79
Th  0.8637  0.7274  0.9428  2 Ni 2.79